Record 1
An optimized crystal structure of HoZrAgAu. Source: Alexandria via LeMat-Bulk, functional PBE.

Values from the calculation:
formation energy = -0.3544 eV per atom

a = 7.039 Å, b = 7.039 Å, c = 7.039 Å
α = 90.00°, β = 90.00°, γ = 90.00°
Space group F-43m (No. 216)
Unique sites:
1 Ho 0.000 0.000 0.000
2 Zr 0.000 0.000 0.500
3 Ag 0.250 0.250 0.750
4 Au 0.250 0.250 0.250

=====

Record 2
An optimized crystal structure of TbPmPrEu. Source: Alexandria via LeMat-Bulk, functional PBE.

Values from the calculation:
formation energy = 0.1372 eV per atom
energy above the most stable polymorph in this dataset = 0 meV per atom

a = 8.287 Å, b = 8.287 Å, c = 8.287 Å
α = 90.00°, β = 90.00°, γ = 90.00°
Space group F-43m (No. 216)
Unique sites:
1 Tb 0.000 0.000 0.000
2 Pm 0.250 0.250 0.750
3 Pr 0.250 0.250 0.250
4 Eu 0.000 0.000 0.500

=====

Record 3
An optimized crystal structure of MnTePb2. Source: Alexandria via LeMat-Bulk, functional PBE.

Values from the calculation:
energy relative to the elements, uncorrected = 0.372 eV per atom

a = 3.4575 Å, b = 3.4575 Å, c = 30.9607 Å
α = 90.00°, β = 90.00°, γ = 120.00°
Space group R-3m (No. 166, hexagonal axes)
Unique sites:
1 Mn 0.0000 0.0000 0.0000
2 Te 0.0000 0.0000 0.5000
3 Pb 0.0000 0.0000 0.2605

=====

Record 4
An optimized crystal structure of NbSn5. Source: Alexandria via LeMat-Bulk, functional PBE.

Values from the calculation:
formation energy = 0.0131 eV per atom

a = 8.897 Å, b = 3.929 Å, c = 8.607 Å
α = 90.00°, β = 90.00°, γ = 90.00°
Space group Pmma (No. 51)
Unique sites:
1 Nb 0.250 0.000 0.204
2 Sn 0.000 0.000 0.000
3 Sn 0.023 0.500 0.318
4 Sn 0.250 0.000 0.550
5 Sn 0.250 0.500 0.935

=====

Record 5
An optimized crystal structure of PmEr3Te3. Source: Alexandria via LeMat-Bulk, functional PBE.

Values from the calculation:
energy relative to the elements, uncorrected = -0.931 eV per atom

a = 7.1553 Å, b = 7.1553 Å, c = 31.0788 Å
α = 90.00°, β = 90.00°, γ = 120.00°
Space group R-3 (No. 148, hexagonal axes)
Unique sites:
1 Pm 0.0000 0.0000 0.1670
2 Er 0.0030 0.6553 0.3776
3 Te 0.0016 0.6851 0.5614

=====

Record 6
An optimized crystal structure of BaNbO3. Source: Alexandria via LeMat-Bulk, functional PBE.

Values from the calculation:
energy relative to the elements, uncorrected = -1.779 eV per atom

a = 6.992 Å, b = 14.844 Å, c = 3.792 Å
α = 90.00°, β = 90.00°, γ = 90.00°
Space group Cmcm (No. 63)
Unique sites:
1 Ba 0.000 0.157 0.250
2 Nb 0.000 0.415 0.250
3 O 0.000 0.000 0.000
4 O 0.205 0.340 0.250

=====

For each record above, in turn, the calculated V values are 21.8, 35.6, 26.7, 25.1, 32.8, 19.7 Å³ per atom.
For each record above, in turn, the calculated total moment values are 1.1, 8.0, 3.7, 0.0, 0.8, 0.0 μB/f.u..